DFT (GGA-PBE) results for EuAgAu4 after structural relaxation.

Summary:
Calculated formation energy   -38.8 kJ/mol of atoms

abc: 5.611 5.611 5.611
angles: 60.00 60.00 60.00
Element x y z (fractional)
Eu1 0.000 0.000 0.000
Ag1 0.750 0.750 0.750
Au1 0.375 0.375 0.375
Au2 0.375 0.375 0.874
Au3 0.375 0.874 0.375
Au4 0.874 0.375 0.375



DFT (GGA-PBE) results for ThHOs after structural relaxation.

Summary:
Offset from the most stable computed form   0.0000 eV per atom

abc: 7.113 4.186 7.905
angles: 90.00 107.36 90.00
Element x y z (fractional)
Th1 0.097 0.000 0.286
Th2 0.403 0.500 0.714
Th3 0.597 0.500 0.286
Th4 0.903 0.000 0.714
H1 0.203 0.000 0.600
H2 0.297 0.500 0.400
H3 0.703 0.500 0.600
H4 0.797 0.000 0.400
Os1 0.161 0.500 0.969
Os2 0.339 0.000 0.031
Os3 0.661 0.000 0.969
Os4 0.839 0.500 0.031



DFT (GGA-PBE) results for HfSi2Ir2 after structural relaxation.

abc: 7.285 7.285 2.793
angles: 90.00 90.00 90.00
Element x y z (fractional)
Hf1 0.000 0.000 0.000
Hf2 0.500 0.500 0.000
Si1 0.148 0.352 0.000
Si2 0.352 0.852 0.000
Si3 0.648 0.148 0.000
Si4 0.852 0.648 0.000
Ir1 0.147 0.647 0.500
Ir2 0.353 0.147 0.500
Ir3 0.647 0.853 0.500
Ir4 0.853 0.353 0.500



Total energy in eV per formula unit, matching the order above: -28.65, -22.81, -41.50